1.
VASP calculation (GGA-PBE) on crystalline ThSc5Sn6 at its relaxed geometry.

Values from the calculation:
Crystal system = monoclinic
Electronic total energy = -5.7797 eV per atom
E_form = -0.5219 eV per atom

Cell and atoms, written as POSCAR:
```
ThSc5Sn6
1.0
7.998 0.482 0.000
2.723 5.292 0.000
1.362 2.646 7.335
Th Sc Sn
1 5 6
Cartesian
0.000 0.000 0.000 Th
5.361 2.887 5.184 Sc
1.362 2.646 2.593 Sc
5.361 2.887 0.000 Sc
2.723 5.292 4.742 Sc
6.722 5.533 2.150 Sc
6.568 1.882 2.583 Sn
4.154 3.892 2.583 Sn
2.656 1.733 0.000 Sn
8.066 4.041 0.000 Sn
7.929 4.528 4.752 Sn
5.515 6.538 4.752 Sn
```

***

2.
VASP calculation (GGA-PBE) on crystalline SrPu2PaO8 at its relaxed geometry.

Values from the calculation:
ΔE_f (raw) = -2.7765 eV per atom
Crystal system = trigonal
Electronic total energy = -9.4022 eV per atom

Cell and atoms, written as POSCAR:
```
SrPu2PaO8
1.0
-4.625 2.903 3.582
0.901 -6.453 0.440
4.543 0.981 5.071
Sr Pu Pa O
1 2 1 8
Cartesian
0.000 0.000 0.000 Sr
-1.673 0.024 3.775 Pu
2.492 -2.594 5.319 Pu
2.272 0.490 2.536 Pa
-0.807 -3.306 1.637 O
0.110 0.190 2.611 O
-2.474 1.817 4.611 O
1.626 0.736 7.456 O
3.294 -4.387 4.483 O
0.710 -2.760 6.483 O
2.793 -0.780 4.234 O
-1.974 -1.790 4.860 O
```

***

3.
VASP calculation (GGA-PBE) on crystalline Li2LaP at its relaxed geometry.

Values from the calculation:
Crystal system = tetragonal
Electronic total energy = -3.9646 eV per atom
E_form = -0.4233 eV per atom

Cell and atoms, written as POSCAR:
```
Li2LaP
1.0
6.191 0.056 0.000
3.321 5.225 0.000
-4.756 -2.641 2.956
La Li P
1 2 1
Cartesian
3.095 0.028 1.478 La
0.000 0.000 0.000 Li
4.756 2.641 0.000 Li
1.660 2.613 1.478 P
```

***

4.
VASP calculation (GGA-PBE) on crystalline FeTcAg2 at its relaxed geometry.

Values from the calculation:
ΔE to the lowest computed polymorph = 0.0 meV per atom
Crystal system = tetragonal
Electronic total energy = -5.8326 eV per atom
E_form = 0.3002 eV per atom

Cell and atoms, written as POSCAR:
```
FeTcAg2
1.0
2.806 0.000 0.000
0.000 2.806 0.000
0.000 0.000 7.834
Ag Fe Tc
2 1 1
Cartesian
0.000 0.000 7.767 Ag
1.403 1.403 2.131 Ag
0.000 0.000 4.145 Fe
1.403 1.403 5.542 Tc
```

***

5.
VASP calculation (GGA-PBE) on crystalline YFeTc2 at its relaxed geometry.

Values from the calculation:
ΔE to the lowest computed polymorph = 70.4 meV per atom
Crystal system = tetragonal
Electronic total energy = -8.6993 eV per atom
E_form = 0.2154 eV per atom

Cell and atoms, written as POSCAR:
```
YFeTc2
1.0
-1.949 -1.966 -1.563
2.188 -0.358 -2.278
2.637 -5.288 3.364
Fe Tc Y
1 2 1
Cartesian
2.097 -5.128 0.603 Fe
2.464 -4.941 3.144 Tc
1.491 -2.990 1.902 Tc
0.779 -2.484 -1.079 Y
```

***

6.
VASP calculation (GGA-PBE) on crystalline Cr2NiBr at its relaxed geometry.

Values from the calculation:
ΔE to the lowest computed polymorph = 428.4 meV per atom
ΔE_f (raw) = 0.7936 eV per atom
Crystal system = cubic
Electronic total energy = -5.8817 eV per atom

Cell and atoms, written as POSCAR:
```
Cr2NiBr
1.0
4.435 0.000 0.000
2.217 3.840 0.000
2.217 1.280 3.621
Br Cr Ni
1 2 1
Cartesian
4.435 2.560 1.810 Br
0.000 0.000 0.000 Cr
2.217 1.280 0.905 Cr
6.652 3.840 2.716 Ni
```

***

7.
VASP calculation (GGA-PBE) on crystalline Rb2PdSeF6 at its relaxed geometry.

Values from the calculation:
ΔE_f (raw) = -1.8194 eV per atom
Crystal system = tetragonal
Electronic total energy = -4.0035 eV per atom

Cell and atoms, written as POSCAR:
```
Rb2PdSeF6
1.0
-2.604 0.109 -5.565
-0.707 -6.100 0.211
-6.123 -2.405 -0.575
Se Rb Pd F
1 2 1 6
Cartesian
-1.656 -2.995 -2.677 Se
-5.191 -2.645 -4.408 Rb
-4.243 -5.750 -1.520 Rb
0.000 0.000 0.000 Pd
-4.315 -2.644 -1.425 F
-5.119 -5.752 -4.503 F
-0.885 -1.602 -1.431 F
-2.426 -4.389 -3.922 F
-2.097 -1.551 -4.021 F
-1.214 -4.440 -1.333 F
```

***

8.
VASP calculation (GGA-PBE) on crystalline ZnPPdN2 at its relaxed geometry.

Values from the calculation:
ΔE_f (raw) = 0.8241 eV per atom
Crystal system = tetragonal
Electronic total energy = -4.8814 eV per atom

Cell and atoms, written as POSCAR:
```
ZnPPdN2
1.0
3.366 0.000 0.000
0.000 7.236 0.000
0.000 0.000 3.366
P Zn Pd N
1 1 1 2
Cartesian
0.000 0.000 0.000 P
0.000 3.618 0.000 Zn
1.683 3.618 1.683 Pd
0.000 0.000 1.683 N
1.683 0.000 0.000 N
```

***

9.
VASP calculation (GGA-PBE) on crystalline LaCd3Re at its relaxed geometry.

Values from the calculation:
ΔE to the lowest computed polymorph = 1856.4 meV per atom
Crystal system = cubic
Electronic total energy = -1.6636 eV per atom
E_form = 2.3606 eV per atom

Cell and atoms, written as POSCAR:
```
LaCd3Re
1.0
-3.950 4.112 -0.659
-1.754 -0.819 5.404
3.777 3.920 1.821
Re Cd La
1 3 1
Cartesian
-0.964 3.606 3.283 Re
-0.877 -0.410 2.702 Cd
1.889 1.960 0.910 Cd
-1.975 2.056 -0.329 Cd
0.000 0.000 0.000 La
```

***

10.
VASP calculation (GGA-PBE) on crystalline Tl2SnS4 at its relaxed geometry.

Values from the calculation:
ΔE_f (raw) = -0.2031 eV per atom
Crystal system = orthorhombic
Electronic total energy = -3.8096 eV per atom

Cell and atoms, written as POSCAR:
```
Tl2SnS4
1.0
-3.705 -6.859 -0.982
4.062 -6.750 0.387
-2.820 -3.874 6.265
Tl Sn S
4 2 8
Cartesian
-2.049 -3.871 3.331 Tl
-1.853 -3.430 -0.491 Tl
-1.232 -8.742 2.835 Tl
-0.415 -13.613 2.338 Tl
2.031 -3.375 0.193 Sn
0.178 -6.805 -0.298 Sn
-0.107 -4.611 1.171 S
-0.347 -9.563 5.232 S
-2.163 -6.485 4.476 S
-3.800 -9.516 4.042 S
1.336 -7.967 1.627 S
-2.117 -7.920 0.437 S
-0.301 -10.998 1.193 S
-2.357 -12.873 4.498 S
```

***

11.
VASP calculation (GGA-PBE) on crystalline AcPm4Y15 at its relaxed geometry.

Values from the calculation:
Crystal system = tetragonal
Electronic total energy = -5.9759 eV per atom
E_form = 0.0277 eV per atom

Cell and atoms, written as POSCAR:
```
AcPm4Y15
1.0
-2.897 2.341 3.494
-4.136 -2.354 -1.852
3.797 -19.348 16.110
Ac Pm Y
1 4 15
Cartesian
0.000 0.000 0.000 Ac
0.767 -3.911 3.257 Pm
1.522 -7.758 6.460 Pm
2.274 -11.590 9.650 Pm
3.029 -15.437 12.853 Pm
-3.516 -0.007 0.821 Y
-2.746 -3.932 4.089 Y
-1.994 -7.763 7.279 Y
-1.242 -11.598 10.473 Y
-0.490 -15.429 13.662 Y
-1.053 -0.843 3.423 Y
-0.302 -4.671 6.611 Y
0.450 -8.504 9.802 Y
1.202 -12.336 12.993 Y
1.953 -16.165 16.181 Y
-1.673 -3.190 0.750 Y
-0.922 -7.018 3.938 Y
-0.170 -10.851 7.129 Y
0.582 -14.683 10.320 Y
1.334 -18.512 13.508 Y
```

***

12.
VASP calculation (GGA-PBE) on crystalline HfScTlCu at its relaxed geometry.

Values from the calculation:
Crystal system = cubic
Electronic total energy = -5.7193 eV per atom
E_form = -0.0325 eV per atom

Cell and atoms, written as POSCAR:
```
HfScTlCu
1.0
4.851 0.000 0.000
2.425 4.201 0.000
2.425 1.400 3.961
Sc Tl Hf Cu
1 1 1 1
Cartesian
4.851 2.801 1.980 Sc
7.276 4.201 2.971 Tl
0.000 0.000 0.000 Hf
2.425 1.400 0.990 Cu
```

***

What is the electronic total energy in the tenth record? -3.8096 eV per atom

***

Repeat the fourth record exactly.
VASP calculation (GGA-PBE) on crystalline FeTcAg2 at its relaxed geometry.

Values from the calculation:
ΔE to the lowest computed polymorph = 0.0 meV per atom
Crystal system = tetragonal
Electronic total energy = -5.8326 eV per atom
E_form = 0.3002 eV per atom

Cell and atoms, written as POSCAR:
```
FeTcAg2
1.0
2.806 0.000 0.000
0.000 2.806 0.000
0.000 0.000 7.834
Ag Fe Tc
2 1 1
Cartesian
0.000 0.000 7.767 Ag
1.403 1.403 2.131 Ag
0.000 0.000 4.145 Fe
1.403 1.403 5.542 Tc
```

***

Which value of electronic total energy does entry 8 give? -4.8814 eV per atom

***

Copy entry 5 word for word.
VASP calculation (GGA-PBE) on crystalline YFeTc2 at its relaxed geometry.

Values from the calculation:
ΔE to the lowest computed polymorph = 70.4 meV per atom
Crystal system = tetragonal
Electronic total energy = -8.6993 eV per atom
E_form = 0.2154 eV per atom

Cell and atoms, written as POSCAR:
```
YFeTc2
1.0
-1.949 -1.966 -1.563
2.188 -0.358 -2.278
2.637 -5.288 3.364
Fe Tc Y
1 2 1
Cartesian
2.097 -5.128 0.603 Fe
2.464 -4.941 3.144 Tc
1.491 -2.990 1.902 Tc
0.779 -2.484 -1.079 Y
```